# Al

Crystalline Al at its relaxed geometry (PBE, Alexandria).

```
Al
1.0
-2.2234 -1.6652 0.5077
-0.0489 -1.5408 2.3442
-1.0834 2.6116 0.0150
Al
1
Direct
0.0000 0.0000 0.0000
```

Calculated values
ΔE to the lowest computed polymorph, meV per atom: 64
Calculated formation energy, meV/atom: 64
Magnetic moment, μB/f.u.: 0.00
Density, g/cm3: 2.64
Total energy, eV/atom: -3.679